[1]
{
  "formula": "PuSiS2",
  "functional": "PBE",
  "state": "optimized geometry",
  "lattice_angstrom": [[1.696, 0.979, 8.243], [-1.696, 0.979, 8.243], [0.000, -1.958, 8.243]],
  "species": ["Pu", "Si", "S", "S"],
  "frac_coords": [[0.000, 0.000, 0.000], [0.500, 0.500, 0.500], [0.112, 0.112, 0.112], [0.888, 0.888, 0.888]],
  "magnetic_moment_mub_per_fu": 6.13,
  "formation_energy_uncorrected_kj_per_mol_fu": -139
}

---

[2]
{
  "formula": "PuThSiS",
  "functional": "PBE",
  "state": "optimized geometry",
  "lattice_angstrom": [[2.079, 1.200, 6.540], [-2.079, 1.200, 6.540], [0.000, -2.401, 6.540]],
  "species": ["Pu", "Th", "Si", "S"],
  "frac_coords": [[0.000, 0.000, 0.000], [0.497, 0.497, 0.497], [0.251, 0.251, 0.251], [0.744, 0.744, 0.744]],
  "magnetic_moment_mub_per_fu": 5.37,
  "formation_energy_uncorrected_kj_per_mol_fu": -432
}

---

[3]
{
  "formula": "PuTlSiS4",
  "functional": "PBE",
  "state": "optimized geometry",
  "lattice_angstrom": [[6.524, 0.000, 0.000], [0.000, 6.531, 0.000], [-2.581, 0.000, 8.396]],
  "species": ["Pu", "Pu", "Tl", "Tl", "Si", "Si", "S", "S", "S", "S", "S", "S", "S", "S"],
  "frac_coords": [[0.235, 0.250, 0.055], [0.765, 0.750, 0.945], [0.259, 0.250, 0.568], [0.741, 0.750, 0.432], [0.219, 0.750, 0.825], [0.781, 0.250, 0.175], [0.004, 0.004, 0.788], [0.004, 0.496, 0.788], [0.410, 0.750, 0.068], [0.411, 0.750, 0.668], [0.589, 0.250, 0.332], [0.590, 0.250, 0.932], [0.996, 0.504, 0.212], [0.996, 0.996, 0.212]],
  "magnetic_moment_mub_per_fu": 5.00,
  "formation_energy_uncorrected_kj_per_mol_fu": -665
}

---

[4]
{
  "formula": "PuTl2SiS4",
  "functional": "PBE",
  "state": "optimized geometry",
  "lattice_angstrom": [[-3.973, 4.199, 5.762], [3.973, -4.199, 5.762], [3.973, 4.199, -5.762]],
  "species": ["Pu", "Pu", "Tl", "Tl", "Tl", "Tl", "Si", "Si", "S", "S", "S", "S", "S", "S", "S", "S"],
  "frac_coords": [[0.000, 0.000, 0.000], [0.500, 0.000, 0.500], [0.000, 0.500, 0.500], [0.500, 0.000, 0.000], [0.500, 0.500, 0.000], [0.500, 0.500, 0.500], [0.000, 0.000, 0.500], [0.000, 0.500, 0.000], [0.183, 0.236, 0.947], [0.211, 0.764, 0.447], [0.217, 0.188, 0.470], [0.217, 0.747, 0.030], [0.783, 0.253, 0.970], [0.783, 0.812, 0.530], [0.789, 0.236, 0.553], [0.817, 0.764, 0.053]],
  "magnetic_moment_mub_per_fu": 4.50,
  "formation_energy_uncorrected_kj_per_mol_fu": -490
}

---

[5]
{
  "formula": "Sm3PuS4",
  "functional": "PBE",
  "state": "optimized geometry",
  "lattice_angstrom": [[-2.824, 2.824, 5.663], [2.824, -2.824, 5.663], [2.824, 2.824, -5.663]],
  "species": ["Sm", "Sm", "Sm", "Pu", "S", "S", "S", "S"],
  "frac_coords": [[0.000, 0.000, 0.000], [0.250, 0.750, 0.500], [0.750, 0.250, 0.500], [0.500, 0.500, 0.000], [0.000, 0.500, 0.500], [0.252, 0.252, 0.000], [0.500, 0.000, 0.500], [0.748, 0.748, 0.000]],
  "magnetic_moment_mub_per_fu": 5.93,
  "formation_energy_uncorrected_kj_per_mol_fu": -1529
}

---

[6]
{
  "formula": "Sm2PuS3",
  "functional": "PBE",
  "state": "optimized geometry",
  "lattice_angstrom": [[-1.994, 2.817, 6.000], [1.994, -2.817, 6.000], [1.994, 2.817, -6.000]],
  "species": ["Sm", "Sm", "Pu", "S", "S", "S"],
  "frac_coords": [[0.169, 0.169, 0.000], [0.831, 0.831, 0.000], [0.500, 0.500, 0.000], [0.000, 0.500, 0.500], [0.337, 0.837, 0.500], [0.663, 0.163, 0.500]],
  "magnetic_moment_mub_per_fu": 5.76,
  "formation_energy_uncorrected_kj_per_mol_fu": -1136
}

---

[7]
{
  "formula": "SmPu4S6",
  "functional": "PBE",
  "state": "optimized geometry",
  "lattice_angstrom": [[1.955, -6.540, 0.000], [1.955, 6.540, 0.000], [0.000, 0.000, 20.006]],
  "species": ["Sm", "Sm", "Pu", "Pu", "Pu", "Pu", "Pu", "Pu", "Pu", "Pu", "S", "S", "S", "S", "S", "S", "S", "S", "S", "S", "S", "S"],
  "frac_coords": [[0.152, 0.848, 0.750], [0.848, 0.152, 0.250], [0.093, 0.907, 0.130], [0.093, 0.907, 0.370], [0.363, 0.637, 0.041], [0.363, 0.637, 0.459], [0.637, 0.363, 0.541], [0.637, 0.363, 0.959], [0.907, 0.093, 0.630], [0.907, 0.093, 0.870], [0.000, 0.000, 0.000], [0.000, 0.000, 0.500], [0.194, 0.806, 0.250], [0.271, 0.729, 0.587], [0.271, 0.729, 0.913], [0.453, 0.547, 0.168], [0.453, 0.547, 0.332], [0.547, 0.453, 0.668], [0.547, 0.453, 0.832], [0.729, 0.271, 0.087], [0.729, 0.271, 0.413], [0.806, 0.194, 0.750]],
  "magnetic_moment_mub_per_fu": 0.05,
  "formation_energy_uncorrected_kj_per_mol_fu": -1852
}

---

[8]
{
  "formula": "SmPu2S3",
  "functional": "PBE",
  "state": "optimized geometry",
  "lattice_angstrom": [[3.961, 0.000, 0.000], [-1.980, 3.430, 0.000], [0.000, 0.000, 19.715]],
  "species": ["Sm", "Sm", "Pu", "Pu", "Pu", "Pu", "S", "S", "S", "S", "S", "S"],
  "frac_coords": [[0.000, 0.000, 0.250], [0.000, 0.000, 0.750], [0.333, 0.667, 0.083], [0.333, 0.667, 0.417], [0.667, 0.333, 0.583], [0.667, 0.333, 0.917], [0.000, 0.000, 0.000], [0.000, 0.000, 0.500], [0.333, 0.667, 0.663], [0.333, 0.667, 0.837], [0.667, 0.333, 0.163], [0.667, 0.333, 0.337]],
  "magnetic_moment_mub_per_fu": 11.11,
  "formation_energy_uncorrected_kj_per_mol_fu": -1066
}

---

[9]
{
  "formula": "Sm4PuS4",
  "functional": "PBE",
  "state": "optimized geometry",
  "lattice_angstrom": [[-4.442, 4.442, 2.822], [4.442, -4.442, 2.822], [4.442, 4.442, -2.822]],
  "species": ["Sm", "Sm", "Sm", "Sm", "Pu", "S", "S", "S", "S"],
  "frac_coords": [[0.102, 0.301, 0.403], [0.301, 0.898, 0.199], [0.699, 0.102, 0.801], [0.898, 0.699, 0.597], [0.500, 0.500, 0.000], [0.201, 0.597, 0.798], [0.403, 0.201, 0.603], [0.597, 0.799, 0.397], [0.799, 0.403, 0.202]],
  "magnetic_moment_mub_per_fu": 6.05,
  "formation_energy_uncorrected_kj_per_mol_fu": -1475
}

---

[10]
{
  "formula": "Sm5PuS8",
  "functional": "PBE",
  "state": "optimized geometry",
  "lattice_angstrom": [[-4.243, 4.243, 4.216], [4.243, -4.243, 4.216], [4.243, 4.243, -4.216]],
  "species": ["Sm", "Sm", "Sm", "Sm", "Sm", "Pu", "S", "S", "S", "S", "S", "S", "S", "S"],
  "frac_coords": [[0.000, 0.000, 0.000], [0.128, 0.252, 0.624], [0.496, 0.872, 0.124], [0.628, 0.504, 0.376], [0.748, 0.372, 0.876], [0.250, 0.750, 0.500], [0.022, 0.624, 0.751], [0.226, 0.475, 0.102], [0.373, 0.124, 0.898], [0.376, 0.127, 0.398], [0.525, 0.627, 0.751], [0.729, 0.978, 0.602], [0.873, 0.271, 0.249], [0.876, 0.774, 0.249]],
  "magnetic_moment_mub_per_fu": 6.65,
  "formation_energy_uncorrected_kj_per_mol_fu": -2693
}

---

[11]
{
  "formula": "Sm4PuS5",
  "functional": "PBE",
  "state": "optimized geometry",
  "lattice_angstrom": [[-4.471, 4.471, 2.827], [4.471, -4.471, 2.827], [4.471, 4.471, -2.827]],
  "species": ["Sm", "Sm", "Sm", "Sm", "Pu", "S", "S", "S", "S", "S"],
  "frac_coords": [[0.097, 0.299, 0.396], [0.299, 0.903, 0.202], [0.701, 0.097, 0.798], [0.903, 0.701, 0.604], [0.500, 0.500, 0.000], [0.000, 0.000, 0.000], [0.203, 0.599, 0.802], [0.401, 0.203, 0.604], [0.599, 0.797, 0.396], [0.797, 0.401, 0.198]],
  "magnetic_moment_mub_per_fu": 5.56,
  "formation_energy_uncorrected_kj_per_mol_fu": -1919
}

---

[12]
{
  "formula": "Sm5PuS6",
  "functional": "PBE",
  "state": "optimized geometry",
  "lattice_angstrom": [[3.459, -6.002, 0.000], [3.459, 6.002, 0.000], [-2.311, 0.000, 6.543]],
  "species": ["Sm", "Sm", "Sm", "Sm", "Sm", "Pu", "S", "S", "S", "S", "S", "S"],
  "frac_coords": [[0.000, 0.000, 0.000], [0.168, 0.832, 0.500], [0.331, 0.669, 0.000], [0.669, 0.331, 0.000], [0.832, 0.168, 0.500], [0.500, 0.500, 0.500], [0.087, 0.417, 0.252], [0.253, 0.253, 0.749], [0.417, 0.087, 0.252], [0.583, 0.913, 0.748], [0.747, 0.747, 0.251], [0.913, 0.583, 0.748]],
  "magnetic_moment_mub_per_fu": 5.82,
  "formation_energy_uncorrected_kj_per_mol_fu": -2310
}